[1]
PBE FeSbAu3, relaxed; M_tot = 2.990 μB/cell; uncorrected formation energy = 0.648 eV per atom; V = 114 Å³ per cell
1.0
-1.6837 -1.3768 -4.3293
4.5241 -0.9285 -1.4642
-0.4136 -4.5514 1.6083
Sb Au Fe
1 3 1
Cartesian
1.2134 -3.4284 -2.0926
2.2620 -0.4643 -0.7321
-0.2068 -2.2757 0.8042
-0.8419 -0.6884 -2.1646
0.0000 0.0000 0.0000

[2]
PBE ZnIO3, relaxed; M_tot = 0.000 μB/cell; uncorrected formation energy = 0.074 eV per atom; V = 70 Å³ per cell
1.0
-0.9344 1.6179 3.6673
-0.3319 -3.7840 1.5848
3.9946 0.0640 0.9896
I Zn O
1 1 3
Cartesian
0.0000 0.0000 0.0000
1.3641 -1.0510 3.1208
-0.1660 -1.8920 0.7924
1.9973 0.0320 0.4948
-0.4672 0.8089 1.8337

[3]
PBE Sm4TmGa5, relaxed; M_tot = 0.000 μB/cell; calculated formation energy = -0.573 eV/atom; V = 238 Å³ per cell
1.0
-2.7270 -1.0588 2.1255
-1.8026 -1.1840 -2.9025
7.7685 -16.3248 1.8347
Sm Tm Ga
4 1 5
Cartesian
1.5111 -3.1754 0.3569
3.0935 -6.5007 0.7306
4.6750 -9.8241 1.1041
6.2574 -13.1495 1.4778
0.0000 0.0000 0.0000
-1.5588 -2.6049 -0.2217
0.0363 -5.9570 0.1550
1.6194 -9.2838 0.5289
3.2026 -12.6107 0.9028
4.7977 -15.9627 1.2795

[4]
PBE Na3PmSc2Se6, relaxed; M_tot = 0.000 μB/cell; uncorrected formation energy = -1.610 eV per atom; V = 298 Å³ per cell
1.0
7.0169 -0.0035 -0.0038
-3.5098 6.0760 -0.0038
-1.1733 -2.0316 6.9873
Na Pm Sc Se
3 1 2 6
Cartesian
-2.3832 4.0707 3.4899
4.7170 -0.0299 3.4899
1.1669 2.0204 3.4899
0.0000 0.0000 0.0000
-0.0091 4.0542 -0.0038
3.5161 2.0183 -0.0038
3.5678 1.9020 5.4219
2.2729 3.9355 1.5570
-1.2340 2.1388 1.5578
-0.1355 4.0408 5.4219
0.0609 0.1054 5.4227
2.4693 0.0000 1.5578

[5]
PBE BaYHO2, relaxed; M_tot = 0.000 μB/cell; V = 84 Å³ per cell
1.0
-3.9387 0.1055 -2.1162
1.9909 -0.1990 -3.7153
-0.1927 -4.4662 0.1359
Y H Ba O
1 1 1 2
Cartesian
0.0000 0.0000 0.0000
0.9954 -0.0995 -1.8576
-1.0702 -2.2798 -2.8478
-0.0964 -2.2331 0.0680
-1.9693 0.0528 -1.0581

[6]
PBE Ca2Cd5Pt3, relaxed; M_tot = 0.000 μB/cell; calculated formation energy = -0.519 eV/atom; V = 445 Å³ per cell
1.0
-1.8744 -1.5149 -3.6495
5.5911 -4.9670 -0.8097
-6.0094 -8.2534 9.1329
Ca Cd Pt
4 10 6
Cartesian
-2.1554 -12.5105 6.3001
1.3612 -6.6088 2.0442
-4.3770 -7.4841 2.7341
0.3660 -2.6719 -1.6994
-3.2934 -9.2234 5.5201
-1.3718 -7.7281 3.9125
1.7272 -9.3597 0.3776
-0.3565 -3.5135 1.6416
0.8824 -9.6948 3.5711
-6.4049 -9.4343 4.5852
-1.6425 -6.4020 0.8805
-1.9397 -11.2187 3.0326
2.7665 -4.1055 0.2833
2.7362 -7.0536 -1.0979
-0.7787 -8.9526 1.4956
0.4383 -5.3997 -0.6042
-0.5219 -0.8314 0.6132
-2.2131 -5.1617 3.2792
-4.4250 -11.5460 4.4449
-5.2367 -7.1096 5.6408

[7]
PBE Fe2CuAuN, relaxed; M_tot = 4.745 μB/cell; uncorrected formation energy = 0.029 eV per atom; V = 60 Å³ per cell; offset from the most stable computed form = 0.0 kJ/mol of atoms
1.0
-3.7209 0.5220 0.8124
-0.5330 -3.8070 0.0048
0.8464 -0.1135 3.9497
Au Fe Cu N
1 2 1 1
Cartesian
-1.7037 -1.6993 2.3835
-0.2665 -1.9035 0.0024
-1.8604 0.2610 0.4062
0.4232 -0.0567 1.9748
0.0000 0.0000 0.0000

[8]
PBE La2Pr3S8, relaxed; M_tot = 0.002 μB/cell; uncorrected formation energy = -1.878 eV per atom; V = 393 Å³ per cell
1.0
-4.5905 -2.1776 4.8228
0.8654 -7.8925 -2.7400
6.2198 3.7770 3.9586
La Pr S
2 3 8
Cartesian
1.9598 -0.8520 3.0731
0.5348 -5.4411 2.9682
-2.2953 -1.0888 2.4114
0.2284 -2.0829 -0.7231
0.6370 -5.8096 -2.0169
-2.1749 -5.9903 3.6945
4.6695 -0.3028 2.3469
-2.7470 -2.0744 5.1078
5.2416 -4.2187 0.9336
2.5322 -3.5515 4.0183
2.0609 0.7471 5.5106
0.4337 -7.0402 0.5308
-0.0376 -2.7416 2.0231

[9]
PBE CeSm3Tm7, relaxed; M_tot = 0.862 μB/cell; calculated formation energy = 0.198 eV/atom; V = 361 Å³ per cell
1.0
8.5943 0.0000 0.0000
0.0000 6.9674 0.0000
0.0000 -3.4837 6.0339
Ce Sm Tm
1 3 7
Cartesian
3.8326 0.0000 4.0226
6.7172 1.7266 3.0257
6.7172 0.0000 6.0164
6.7172 -1.7266 3.0257
1.0470 -1.7242 5.0181
1.0470 0.0000 2.0316
1.0378 3.4837 2.0113
3.8336 5.2226 1.0073
3.8336 1.7448 1.0073
3.8336 3.4837 4.0192
1.0470 1.7242 5.0181

[10]
PBE Ba2Mg3ScCd12, relaxed; M_tot = 0.000 μB/cell; calculated formation energy = -0.020 eV/atom; V = 498 Å³ per cell
1.0
7.5839 -1.9034 -1.3501
2.0902 7.5345 -1.3501
2.0902 1.2167 7.5572
Ba Mg Sc Cd
2 3 1 12
Cartesian
8.2502 4.8023 3.4062
3.5141 2.0455 1.4509
3.7920 -0.9517 -0.6750
1.0451 3.7673 -0.6750
1.0451 0.6083 3.7786
0.0000 0.0000 0.0000
5.8178 3.3864 5.4675
8.3524 4.8618 -0.1459
5.4027 6.5371 4.6367
8.3335 1.9576 1.3885
8.3524 1.4696 4.6367
5.8178 6.2796 1.3885
5.9466 3.4614 -0.6104
3.4120 1.9860 5.0030
6.3617 0.3108 0.2204
3.4309 4.8902 3.4686
3.4120 5.3783 0.2204
5.9466 0.5682 3.4686

[11]
PBE K2PdRu, relaxed; M_tot = 2.283 μB/cell; calculated formation energy = 1.249 eV/atom; V = 108 Å³ per cell; offset from the most stable computed form = 29.9 kJ/mol of atoms
1.0
0.0000 3.7849 3.7849
3.7849 0.0000 3.7849
3.7849 3.7849 0.0000
Ru K Pd
1 2 1
Cartesian
0.0000 0.0000 0.0000
1.8925 1.8925 1.8925
5.6774 5.6774 5.6774
3.7849 3.7849 3.7849

Going through the records in order, we get E_tot values of -3.836 -3.466 -4.421 -5.133 -6.670 -3.189 -6.496 -6.279 -4.474 -1.462 -2.917 eV/atom.